1.
VASP calculation (GGA-PBE) on an optimized crystal structure of PuBe4Rh.

The structure in extended XYZ format:
```
6
Lattice="0.000 3.324 3.324 3.324 0.000 3.324 3.324 3.324 0.000" Properties=species:S:1:pos:R:3 pbc="T T T"
Pu 0.000 0.000 0.000
Be 2.513 2.513 2.513
Be 4.136 4.136 2.513
Be 4.136 2.513 4.136
Be 2.513 4.136 4.136
Rh 4.986 4.986 4.986
```

Results
theoretical density	8.655	Mg/m³
DOS(E_F)	1.28	states/eV/atom
E	-6.1953	eV/atom
energy of formation from the pure elements	-0.097	eV per atom


2.
VASP calculation (GGA-PBE) on an optimized crystal structure of ZrScHg2.

The structure in extended XYZ format:
```
4
Lattice="3.646 0.000 0.000 0.000 3.646 0.000 0.000 0.000 6.660" Properties=species:S:1:pos:R:3 pbc="T T T"
Zr 0.000 0.000 0.000
Sc 1.823 1.823 4.841
Hg 0.000 0.000 3.313
Hg 1.823 1.823 1.565
```

Results
theoretical density	10.077	Mg/m³
DOS(E_F)	0.31	states/eV/atom
E	-4.0639	eV/atom
excess energy over the best structure of this formula in the dataset	89	meV/atom
energy of formation from the pure elements	-0.193	eV per atom